[1]
Entry from Alexandria via LeMat-Bulk: La2SbBr2 after structural relaxation (PBE).

Output
space-group type = P4/mbm
total magnetization = 0.0 μB per cell
formation energy without anion corrections = -1.20 eV/atom

Structure (POSCAR):
```
La2SbBr2
1.0
8.9962 0.0000 0.0000
0.0000 8.9962 0.0000
0.0000 0.0000 3.5425
La Sb Br
4 2 4
Direct
0.1790 0.3210 0.0000
0.3210 0.8210 0.0000
0.6790 0.1790 0.0000
0.8210 0.6790 0.0000
0.0000 0.0000 0.5000
0.5000 0.5000 0.5000
0.1209 0.6209 0.5000
0.3791 0.1209 0.5000
0.6209 0.8791 0.5000
0.8791 0.3791 0.5000
```



[2]
Entry from Alexandria via LeMat-Bulk: Y2ThSb3 after structural relaxation (PBE).

Output
space-group type = Immm
total magnetization = 0.0 μB per cell
formation energy without anion corrections = -1.09 eV/atom

Structure (POSCAR):
```
Y2ThSb3
1.0
-2.2216 3.1447 6.6165
2.2216 -3.1447 6.6165
2.2216 3.1447 -6.6165
Y Th Sb
2 1 3
Direct
0.1653 0.1653 0.0000
0.8347 0.8347 0.0000
0.5000 0.5000 0.0000
0.0000 0.5000 0.5000
0.3293 0.8293 0.5000
0.6707 0.1707 0.5000
```



[3]
Entry from Alexandria via LeMat-Bulk: Dy2InO after structural relaxation (PBE).

Output
space-group type = R-3m
polymorph energy (0 for the lowest one) = 0.041 eV/atom
total magnetization = 0.0 μB per cell
formation energy without anion corrections = -1.60 eV/atom

Structure (POSCAR):
```
Dy2InO
1.0
1.7717 1.0229 7.6917
-1.7717 1.0229 7.6917
0.0000 -2.0458 7.6917
Dy In O
2 1 1
Direct
0.2238 0.2238 0.2238
0.7762 0.7762 0.7762
0.0000 0.0000 0.0000
0.5000 0.5000 0.5000
```



[4]
Entry from Alexandria via LeMat-Bulk: SiMoPb3 after structural relaxation (PBE).

Output
space-group type = Pm-3m
polymorph energy (0 for the lowest one) = 0.000 eV/atom
total magnetization = 2.5 μB per cell
formation energy without anion corrections = 0.94 eV/atom

Structure (POSCAR):
```
SiMoPb3
1.0
5.3976 0.0000 0.0000
0.0000 5.3976 0.0000
0.0000 0.0000 5.3976
Si Mo Pb
1 1 3
Direct
0.0000 0.0000 0.0000
0.5000 0.5000 0.5000
0.0000 0.5000 0.5000
0.5000 0.0000 0.5000
0.5000 0.5000 0.0000
```



[5]
Entry from Alexandria via LeMat-Bulk: FeOsAu2 after structural relaxation (PBE).

Output
space-group type = R-3m
polymorph energy (0 for the lowest one) = 0.208 eV/atom
total magnetization = 2.9 μB per cell
ΔE_f = 0.456 eV per atom

Structure (POSCAR):
```
FeOsAu2
1.0
1.3963 0.8061 9.2748
-1.3963 0.8061 9.2748
0.0000 -1.6123 9.2748
Fe Os Au
1 1 2
Direct
0.0000 0.0000 0.0000
0.5000 0.5000 0.5000
0.2527 0.2527 0.2527
0.7473 0.7473 0.7473
```



[6]
Entry from Alexandria via LeMat-Bulk: CaCo2Hg after structural relaxation (PBE).

Output
space-group type = C2/m
total magnetization = 2.4 μB per cell
ΔE_f = 0.177 eV per atom

Structure (POSCAR):
```
CaCo2Hg
1.0
4.1909 -2.0508 0.0000
4.1909 2.0508 0.0000
-2.5354 0.0000 4.8790
Ca Co Hg
1 2 1
Direct
0.0000 0.0000 0.0000
0.2103 0.2103 0.5592
0.7897 0.7897 0.4408
0.5000 0.5000 0.5000
```